# 1
An optimized crystal structure of MnTeBr2. Source: Alexandria via LeMat-Bulk, functional PBE.

a = 7.5748 Å, b = 7.5748 Å, c = 5.9243 Å
α = 78.40°, β = 78.40°, γ = 27.55°
Last column: magnetic moment on the atom in μB.
Positions (direct):
Br1 0.0756 0.0756 0.8620  0.06
Br2 0.8530 0.8530 0.6863  0.05
Mn1 0.4781 0.4781 0.6043  3.96
Te1 0.0933 0.0933 0.3473  -0.13

Computed properties:
The value obtained for the magnetization is 4.21 μB per formula unit. As for the density of states at the Fermi level: 0.68 states/eV per cell. The value obtained for the raw total energy is -4.26 eV per atom. The formation energy (no corrections) is -0.34 eV/atom.

***

# 2
An optimized crystal structure of MnTeBr2. Source: Alexandria via LeMat-Bulk, functional PBE.

a = 3.3661 Å, b = 3.3661 Å, c = 12.0019 Å
α = 90.00°, β = 90.00°, γ = 106.95°
Last column: magnetic moment on the atom in μB.
Positions (direct):
Br1 0.0000 0.0000 0.1077  0.13
Br2 0.0000 0.0000 0.3923  0.13
Mn1 0.5000 0.5000 0.2500  4.35
Te1 0.5000 0.5000 0.7500  0.00

Computed properties:
The value obtained for the magnetization is 4.98 μB per formula unit. As for the density of states at the Fermi level: 1.57 states/eV per cell. The value obtained for the raw total energy is -4.10 eV per atom. The formation energy (no corrections) is -0.19 eV/atom.

***

# 3
An optimized crystal structure of MnTe2Br. Source: Alexandria via LeMat-Bulk, functional PBE.

a = 3.2793 Å, b = 3.2793 Å, c = 11.4076 Å
α = 90.00°, β = 90.00°, γ = 105.20°
Last column: magnetic moment on the atom in μB.
Positions (direct):
Br1 0.0000 0.0000 0.5970  0.13
Mn1 0.5000 0.5000 0.7441  4.06
Te1 0.0000 0.0000 0.9204  -0.03
Te2 0.5000 0.5000 0.2384  -0.02

Computed properties:
The value obtained for the magnetization is 4.41 μB per formula unit. As for the density of states at the Fermi level: 2.30 states/eV per cell. The value obtained for the raw total energy is -4.28 eV per atom. The formation energy (no corrections) is 0.00 eV/atom.

***

# 4
An optimized crystal structure of Mn2TeBr. Source: Alexandria via LeMat-Bulk, functional PBE.

a = 3.4880 Å, b = 3.4880 Å, c = 7.6201 Å
α = 90.00°, β = 90.00°, γ = 90.06°
Last column: magnetic moment on the atom in μB.
Positions (direct):
Br1 0.5000 0.5000 0.8584  0.10
Mn1 0.0000 0.0000 0.0303  3.83
Mn2 0.5000 0.5000 0.2240  3.37
Te1 0.0000 0.0000 0.3873  -0.10

Computed properties:
The value obtained for the magnetization is 7.53 μB per formula unit. As for the density of states at the Fermi level: 1.25 states/eV per cell. The value obtained for the raw total energy is -5.85 eV per atom. The formation energy (no corrections) is -0.06 eV/atom.

***

# 5
An optimized crystal structure of MnTe2Br. Source: Alexandria via LeMat-Bulk, functional PBE.

a = 6.5484 Å, b = 6.5484 Å, c = 6.5484 Å
α = 149.31°, β = 130.36°, γ = 59.50°
Last column: magnetic moment on the atom in μB.
Positions (direct):
Br1 0.7500 0.2500 0.5000  0.03
Mn1 0.2500 0.7500 0.5000  3.65
Te1 0.0685 0.0685 0.0000  -0.18
Te2 0.4315 0.4315 0.0000  -0.18

Computed properties:
The value obtained for the magnetization is 3.39 μB per formula unit. As for the density of states at the Fermi level: 2.99 states/eV per cell. The value obtained for the raw total energy is -4.25 eV per atom. The formation energy (no corrections) is 0.04 eV/atom.

***

# 6
An optimized crystal structure of MnTe2Br. Source: Alexandria via LeMat-Bulk, functional PBE.

a = 8.2207 Å, b = 8.2207 Å, c = 8.2207 Å
α = 27.56°, β = 27.56°, γ = 27.56°
Last column: magnetic moment on the atom in μB.
Positions (direct):
Br1 0.2500 0.2500 0.2500  -0.09
Mn1 0.7500 0.7500 0.7500  3.14
Te1 0.0223 0.0223 0.0223  -0.13
Te2 0.4777 0.4777 0.4777  -0.13

Computed properties:
The value obtained for the magnetization is 2.87 μB per formula unit. As for the density of states at the Fermi level: 1.76 states/eV per cell. The value obtained for the raw total energy is -4.47 eV per atom. The formation energy (no corrections) is -0.19 eV/atom.